Density functional theory data (meta-GGA SCAN) for a crystal of RbNaI2 relaxed with PBEsol.

Values from the calculation:
- ΔE_f (raw) (eV per atom) = -1.462
- DOS(E_F) (states/eV/f.u.) = 0.00

Lattice parameters (Å, degrees): 7.7139 7.7139 7.7139 74.13 68.70 111.30
Closest atoms and distances in Å follow each position.
Element x y z (fractional)
I 0.5457 0.4207 0.6250  2 Na 3.04
I 0.4543 0.8293 0.1250  2 Na 3.04
I 0.9543 0.1250 0.4207  2 Na 3.04
I 0.0457 0.6250 0.8293  2 Na 3.04
Rb 0.0000 0.0000 0.0000  4 I 3.57
Rb 0.5000 0.2500 0.2500  4 I 3.57
Na 0.5000 0.7500 0.7500  4 I 3.04
Na 0.0000 0.5000 0.5000  4 I 3.04